No. 1
8
Lattice="-3.749 -2.028 -2.839 -3.700 -2.750 2.231 -7.029 5.364 0.832" Properties=species:S:1:pos:R:3 comment="Ho4CdAgAu2, relaxed, DFT PBE" n_ef_per_ev_fu=6.46 delta_e_f_mev_per_atom=-585 energy_ev_per_atom=-4.164 crystal_system=trigonal pbc="T T T"
Ho -5.292 2.707 0.437
Ho -5.573 -2.256 -0.267
Au -10.913 0.522 0.180
Ho -8.905 2.843 0.491
Au -3.566 0.064 0.044
Ag -7.239 0.293 0.112
Ho -9.186 -2.120 -0.213
Cd 0.000 0.000 0.000

=====

No. 2
16
Lattice="8.645 0.000 0.000 0.000 8.644 -0.011 -4.323 -4.319 6.114" Properties=species:S:1:pos:R:3 comment="Li4YEr3Te8, relaxed, DFT PBE" raw_formation_energy_mev_per_atom=-1287 energy_ev_per_atom=-4.596 crystal_system=trigonal pbc="T T T"
Te 0.000 4.339 3.079
Te 0.000 -0.016 3.040
Er 4.323 4.322 -0.005
Te -2.149 -2.186 6.099
Er -2.161 2.162 3.052
Li 0.000 0.000 0.000
Li -2.161 -2.160 3.057
Li 4.323 0.000 0.000
Te 4.323 4.340 3.063
Li 2.161 -2.160 3.057
Te 2.174 6.511 0.005
Te 6.471 6.511 0.005
Y 0.000 4.322 -0.005
Te 4.323 -0.014 3.024
Er 2.161 2.162 3.052
Te 2.149 -2.186 6.099